Entry 1:
A relaxed structure of AlNiP2C. Source: Alexandria via LeMat-Bulk, functional PBE-GGA.

Unit cell a=8.674 b=3.032 c=5.500 alpha=90.00 beta=106.23 gamma=90.00
Space group Cm (No. 8)
Symmetry-distinct sites (fractional):
Al (0.000, 0.000, 0.000) x2
Ni (0.165, 0.500, 0.410) x2
P (0.166, 0.000, 0.719) x2
P (0.321, 0.000, 0.286) x2
C (0.348, 0.000, 0.973) x2

Results
Offset from the most stable computed form ... 128 meV per atom
Size of the total moment ... 0.0 Bohr magnetons per cell



Entry 2:
A relaxed structure of ZrAlZn3. Source: Alexandria via LeMat-Bulk, functional PBE-GGA.

Unit cell a=4.607 b=4.607 c=4.607 alpha=90.00 beta=90.00 gamma=90.00
Space group Pm-3m (No. 221)
Symmetry-distinct sites (fractional):
Zr (0.000, 0.000, 0.000) x1
Al (0.500, 0.500, 0.500) x1
Zn (0.000, 0.500, 0.500) x3

Results
Offset from the most stable computed form ... 255 meV per atom
Size of the total moment ... 0.0 Bohr magnetons per cell



Entry 3:
A relaxed structure of Na2ScSnC. Source: Alexandria via LeMat-Bulk, functional PBE-GGA.

Unit cell a=5.937 b=5.937 c=4.169 alpha=90.00 beta=90.00 gamma=90.00
Space group P4/mmm (No. 123)
Symmetry-distinct sites (fractional):
Na (0.000, 0.500, 0.000) x2
Sc (0.000, 0.000, 0.500) x1
Sn (0.500, 0.500, 0.000) x1
C (0.500, 0.500, 0.500) x1

Results
Size of the total moment ... 1.1 Bohr magnetons per cell



Entry 4:
A relaxed structure of LiCoBRh. Source: Alexandria via LeMat-Bulk, functional PBE-GGA.

Unit cell a=5.350 b=5.350 c=5.350 alpha=90.00 beta=90.00 gamma=90.00
Space group F-43m (No. 216)
Symmetry-distinct sites (fractional):
Li (0.000, 0.000, 0.000) x4
Co (0.250, 0.250, 0.250) x4
B (0.000, 0.000, 0.500) x4
Rh (0.250, 0.250, 0.750) x4

Results
Size of the total moment ... 1.9 Bohr magnetons per cell



Entry 5:
A relaxed structure of BaFeIr2. Source: Alexandria via LeMat-Bulk, functional PBE-GGA.

Unit cell a=5.984 b=8.633 c=2.995 alpha=90.00 beta=90.00 gamma=90.00
Space group Cmmm (No. 65)
Symmetry-distinct sites (fractional):
Ba (0.000, 0.000, 0.000) x2
Fe (0.000, 0.500, 0.000) x2
Ir (0.250, 0.250, 0.500) x4

Results
Size of the total moment ... 7.4 Bohr magnetons per cell



Entry 6:
A relaxed structure of Li4AcGa4. Source: Alexandria via LeMat-Bulk, functional PBE-GGA.

Unit cell a=6.151 b=6.151 c=9.304 alpha=90.00 beta=90.00 gamma=90.00
Space group P4_2/nmc (No. 137, origin choice 2)
Symmetry-distinct sites (fractional):
Li (0.016, 0.250, 0.155) x8
Ac (0.250, 0.750, 0.250) x2
Ga (0.043, 0.250, 0.445) x8

Results
Size of the total moment ... 0.0 Bohr magnetons per cell



no.,total energy (eV/atom),E_form (eV/atom)
1,-5.91,0.007
2,-2.73,0.488
3,-3.18,1.255
4,-5.82,-0.061
5,-6.12,0.906
6,-2.93,-0.277